Record 1
Compound: ScRhAu
Source: the Alexandria database
Functional: GGA-PBE
Structure: optimized geometry

Computed properties:
* energy of formation: -157 kJ/mol of formula units

Cell: 9.456 3.109 8.460 Å, 90.00 115.41 90.00°
Space group C2/m (No. 12)
Inequivalent atoms, fractional coordinates:
Sc1 0.036 0.000 0.221
Rh1 0.154 0.500 0.029
Au1 0.169 0.000 0.597

---

Record 2
Compound: RhPbBr
Source: the Alexandria database
Functional: GGA-PBE
Structure: optimized geometry

Computed properties:
* ΔE_f (raw): 0.108 eV per atom

Cell: 4.5860 4.5860 3.6130 Å, 90.00 90.00 120.00°
Space group P3m1 (No. 156)
Inequivalent atoms, fractional coordinates:
Rh1 0.0000 0.0000 0.0000
Pb1 0.3333 0.6667 0.4905
Br1 0.6667 0.3333 0.9929

---

Record 3
Compound: RbCrH2
Source: the Alexandria database
Functional: GGA-PBE
Structure: optimized geometry

Computed properties:
* calculated total energy: -4.2021 eV/atom

Cell: 3.771 3.771 10.772 Å, 89.70 89.20 83.11°
Space group P1 (No. 1)
Inequivalent atoms, fractional coordinates:
Rb1 0.000 0.000 0.000
Rb2 0.476 0.495 0.599
Cr1 0.320 0.329 0.288
Cr2 0.656 0.665 0.288
H1 0.484 0.996 0.397
H2 0.493 0.998 0.181
H3 0.983 0.496 0.398
H4 0.992 0.498 0.181

---

Record 4
Compound: Tb3ScGa3
Source: the Alexandria database
Functional: GGA-PBE
Structure: optimized geometry

Computed properties:
* energy of formation: -235 kJ/mol of formula units

Cell: 8.9567 8.9567 4.8486 Å, 90.00 90.00 120.00°
Space group P6_3/m (No. 176)
Inequivalent atoms, fractional coordinates:
Tb1 0.0072 0.2515 0.2500
Sc1 0.3333 0.6667 0.7500
Ga1 0.0564 0.6076 0.2500

---

Record 5
Compound: PuInGaGe
Source: the Alexandria database
Functional: GGA-PBE
Structure: optimized geometry

Computed properties:
* energy of formation: -125 kJ/mol of formula units

Cell: 4.173 4.420 4.636 Å, 90.00 90.00 90.00°
Space group Pmmm (No. 47)
Inequivalent atoms, fractional coordinates:
Pu1 0.000 0.000 0.000
In1 0.000 0.500 0.500
Ga1 0.500 0.000 0.500
Ge1 0.500 0.500 0.000

---

Record 6
Compound: TmAlCuAg
Source: the Alexandria database
Functional: GGA-PBE
Structure: optimized geometry

Computed properties:
* energy of formation: -125 kJ/mol of formula units

Cell: 6.607 6.607 6.607 Å, 90.00 90.00 90.00°
Space group F-43m (No. 216)
Inequivalent atoms, fractional coordinates:
Tm1 0.000 0.000 0.000
Al1 0.000 0.000 0.500
Cu1 0.250 0.250 0.250
Ag1 0.250 0.250 0.750

---

Record 7
Compound: Ce2MgPt3
Source: the Alexandria database
Functional: GGA-PBE
Structure: optimized geometry

Computed properties:
* energy of formation: -490 kJ/mol of formula units

Cell: 7.161 9.740 14.939 Å, 90.00 90.00 90.00°
Space group Fmmm (No. 69)
Inequivalent atoms, fractional coordinates:
Ce1 0.250 0.000 0.000
Ce2 0.250 0.250 0.250
Mg1 0.000 0.000 0.175
Pt1 0.000 0.000 0.346
Pt2 0.000 0.231 0.093

---

Record 8
Compound: RbPmCuCl6
Source: the Alexandria database
Functional: GGA-PBE
Structure: optimized geometry

Computed properties:
* ΔE_f (raw): -1.610 eV per atom

Cell: 6.642 6.645 7.380 Å, 93.62 93.68 113.35°
Space group P1 (No. 1)
Inequivalent atoms, fractional coordinates:
Rb1 0.000 0.000 0.000
Pm1 0.345 0.655 0.500
Cu1 0.697 0.303 0.500
Cl1 0.018 0.333 0.665
Cl2 0.033 0.597 0.239
Cl3 0.404 0.966 0.762
Cl4 0.433 0.332 0.300
Cl5 0.666 0.982 0.335
Cl6 0.668 0.567 0.701

---

Record 9
Compound: RbAsAu
Source: the Alexandria database
Functional: GGA-PBE
Structure: optimized geometry

Computed properties:
* energy of formation: -45 kJ/mol of formula units

Cell: 3.770 3.770 12.314 Å, 90.00 90.00 90.00°
Space group I4mm (No. 107)
Inequivalent atoms, fractional coordinates:
Rb1 0.000 0.000 0.000
As1 0.000 0.000 0.726
Au1 0.000 0.000 0.268

---

Record 10
Compound: AcPm8Y2
Source: the Alexandria database
Functional: GGA-PBE
Structure: optimized geometry

Computed properties:
* energy of formation: 26 kJ/mol of formula units

Cell: 18.700 5.190 8.204 Å, 90.00 105.31 90.00°
Space group C2/m (No. 12)
Inequivalent atoms, fractional coordinates:
Ac1 0.000 0.000 0.000
Pm1 0.047 0.500 0.723
Pm2 0.092 0.000 0.460
Pm3 0.139 0.500 0.187
Pm4 0.183 0.000 0.909
Y1 0.228 0.500 0.636

---

Record 11
Compound: Ti2Al5Ir2Pd
Source: the Alexandria database
Functional: GGA-PBE
Structure: optimized geometry

Computed properties:
* energy of formation: -643 kJ/mol of formula units

Cell: 8.887 8.887 4.031 Å, 90.00 90.00 90.00°
Space group P4/mbm (No. 127)
Inequivalent atoms, fractional coordinates:
Ti1 0.174 0.326 0.000
Al1 0.000 0.500 0.500
Al2 0.072 0.798 0.500
Ir1 0.121 0.621 0.000
Pd1 0.000 0.000 0.000

---

Record 12
Compound: AcYPb2O8
Source: the Alexandria database
Functional: GGA-PBE
Structure: optimized geometry

Computed properties:
* ΔE_f (raw): -1.712 eV per atom

Cell: 5.617 5.617 11.499 Å, 90.00 90.00 90.00°
Space group I-4 (No. 82)
Inequivalent atoms, fractional coordinates:
Ac1 0.000 0.000 0.000
Y1 0.000 0.500 0.250
Pb1 0.000 0.000 0.500
Pb2 0.000 0.500 0.750
O1 0.185 0.257 0.399
O2 0.211 0.752 0.841

---

Record 13
Compound: PIr2Os
Source: the Alexandria database
Functional: GGA-PBE
Structure: optimized geometry

Computed properties:
* energy of formation: 136 kJ/mol of formula units

Cell: 3.792 3.792 3.911 Å, 90.00 90.00 90.00°
Space group P4/mmm (No. 123)
Inequivalent atoms, fractional coordinates:
P1 0.000 0.000 0.000
Ir1 0.000 0.500 0.500
Os1 0.500 0.500 0.000

---

Record 14
Compound: Pr2HoGe2
Source: the Alexandria database
Functional: GGA-PBE
Structure: optimized geometry

Computed properties:
* energy of formation: -344 kJ/mol of formula units

Cell: 12.567 4.456 10.890 Å, 90.00 116.72 90.00°
Space group C2/m (No. 12)
Inequivalent atoms, fractional coordinates:
Pr1 0.015 0.000 0.187
Pr2 0.180 0.000 0.590
Ho1 0.223 0.500 0.865
Ge1 0.015 0.500 0.390
Ge2 0.117 0.500 0.060

---

Record 15
Compound: Rb2TmHf2Te6
Source: the Alexandria database
Functional: GGA-PBE
Structure: optimized geometry

Computed properties:
* ΔE_f (raw): -1.048 eV per atom

Cell: 7.245 12.592 9.170 Å, 90.00 104.79 90.00°
Space group C2/m (No. 12)
Inequivalent atoms, fractional coordinates:
Rb1 0.000 0.162 0.000
Tm1 0.000 0.000 0.500
Hf1 0.000 0.332 0.500
Te1 0.213 0.500 0.693
Te2 0.236 0.172 0.694

---

Record 16
Compound: AcTbBiPb
Source: the Alexandria database
Functional: GGA-PBE
Structure: optimized geometry

Computed properties:
* energy of formation: -193 kJ/mol of formula units

Cell: 8.084 8.084 8.084 Å, 90.00 90.00 90.00°
Space group F-43m (No. 216)
Inequivalent atoms, fractional coordinates:
Ac1 0.000 0.000 0.000
Tb1 0.000 0.000 0.500
Bi1 0.250 0.250 0.750
Pb1 0.250 0.250 0.250

---

Record 17
Compound: MnCo2Rh
Source: the Alexandria database
Functional: GGA-PBE
Structure: optimized geometry

Computed properties:
* energy of formation: 221 kJ/mol of formula units

Cell: 6.350 6.350 4.953 Å, 90.00 90.00 90.00°
Space group I-42d (No. 122)
Inequivalent atoms, fractional coordinates:
Mn1 0.000 0.000 0.000
Co1 0.210 0.250 0.125
Rh1 0.000 0.000 0.500

---

Record 18
Compound: Tb2Pr5Nd3
Source: the Alexandria database
Functional: GGA-PBE
Structure: optimized geometry

Computed properties:
* energy of formation: 159 kJ/mol of formula units

Cell: 11.770 5.607 11.005 Å, 90.00 98.54 90.00°
Space group C2/m (No. 12)
Inequivalent atoms, fractional coordinates:
Tb1 0.064 0.000 0.274
Pr1 0.000 0.500 0.500
Pr2 0.141 0.500 0.762
Pr3 0.177 0.000 0.947
Nd1 0.000 0.500 0.000
Nd2 0.234 0.000 0.606

---

Record 19
Compound: Mg3Se2S
Source: the Alexandria database
Functional: GGA-PBE
Structure: optimized geometry

Computed properties:
* ΔE_f (raw): -1.296 eV per atom

Cell: 3.824 5.422 11.505 Å, 90.00 90.00 90.00°
Space group Immm (No. 71)
Inequivalent atoms, fractional coordinates:
Mg1 0.000 0.000 0.000
Mg2 0.000 0.000 0.342
Se1 0.000 0.500 0.332
S1 0.000 0.500 0.000

---

Record 20
Compound: LaDyThMg
Source: the Alexandria database
Functional: GGA-PBE
Structure: optimized geometry

Computed properties:
* energy of formation: -20 kJ/mol of formula units

Cell: 3.626 3.626 9.409 Å, 90.00 90.00 90.00°
Space group P4mm (No. 99)
Inequivalent atoms, fractional coordinates:
La1 0.000 0.000 0.000
Dy1 0.000 0.000 0.486
Th1 0.500 0.500 0.737
Mg1 0.500 0.500 0.257